Record 1
Entry from Alexandria via LeMat-Bulk: a relaxed structure of Sb2WIBr (PBE).

The space group is P4/mmm (No. 123) and the conventional cell measures 5.533, 5.533 and 5.516 Å, with angles of 90.00, 90.00 and 90.00 degrees. The distinct sites, in fractional coordinates, are Sb at (0.000, 0.500, 0.000), W at (0.000, 0.000, 0.500), I at (0.500, 0.500, 0.500) and Br at (0.500, 0.500, 0.000).

As for the formation energy without anion corrections: 1.87 eV per atom. For the theoretical density, the calculation gives 6.24 g/cm³. Its energy above the most stable polymorph in this dataset is 1419 meV/atom. The value obtained for the density of states at the Fermi level is 5.5 states/eV per cell.



Record 2
Entry from Alexandria via LeMat-Bulk: a relaxed structure of Sb2WIBr (PBE).

The space group is P4/mmm (No. 123) and the conventional cell measures 5.269, 5.269 and 5.471 Å, with angles of 90.00, 90.00 and 90.00 degrees. The distinct sites, in fractional coordinates, are Sb at (0.000, 0.500, 0.000), W at (0.000, 0.000, 0.000), I at (0.000, 0.000, 0.500) and Br at (0.500, 0.500, 0.500).

As for the formation energy without anion corrections: 0.45 eV per atom. For the theoretical density, the calculation gives 6.93 g/cm³. Its energy above the most stable polymorph in this dataset is 0 meV/atom. The value obtained for the density of states at the Fermi level is 3.2 states/eV per cell.



Record 3
Entry from Alexandria via LeMat-Bulk: a relaxed structure of SbWI2Br (PBE).

The space group is P4/mmm (No. 123) and the conventional cell measures 5.507, 5.507 and 4.923 Å, with angles of 90.00, 90.00 and 90.00 degrees. The distinct sites, in fractional coordinates, are Sb at (0.000, 0.000, 0.000), W at (0.500, 0.500, 0.500), I at (0.000, 0.500, 0.500) and Br at (0.500, 0.500, 0.000).

As for the formation energy without anion corrections: 0.78 eV per atom. For the theoretical density, the calculation gives 7.11 g/cm³. Its energy above the most stable polymorph in this dataset is 284 meV/atom. The value obtained for the density of states at the Fermi level is 5.8 states/eV per cell.



Record 4
Entry from Alexandria via LeMat-Bulk: a relaxed structure of SbWI2Br (PBE).

The space group is P4/mmm (No. 123) and the conventional cell measures 5.397, 5.397 and 5.372 Å, with angles of 90.00, 90.00 and 90.00 degrees. The distinct sites, in fractional coordinates, are Sb at (0.000, 0.000, 0.000), W at (0.000, 0.000, 0.500), I at (0.000, 0.500, 0.500) and Br at (0.500, 0.500, 0.000).

As for the formation energy without anion corrections: 0.50 eV per atom. For the theoretical density, the calculation gives 6.78 g/cm³. Its energy above the most stable polymorph in this dataset is 0 meV/atom. The value obtained for the density of states at the Fermi level is 4.3 states/eV per cell.



Copy entry 1 word for word.
Entry from Alexandria via LeMat-Bulk: a relaxed structure of Sb2WIBr (PBE).

The space group is P4/mmm (No. 123) and the conventional cell measures 5.533, 5.533 and 5.516 Å, with angles of 90.00, 90.00 and 90.00 degrees. The distinct sites, in fractional coordinates, are Sb at (0.000, 0.500, 0.000), W at (0.000, 0.000, 0.500), I at (0.500, 0.500, 0.500) and Br at (0.500, 0.500, 0.000).

As for the formation energy without anion corrections: 1.87 eV per atom. For the theoretical density, the calculation gives 6.24 g/cm³. Its energy above the most stable polymorph in this dataset is 1419 meV/atom. The value obtained for the density of states at the Fermi level is 5.5 states/eV per cell.



- Which formula does entry 1 have?
  Sb2WIBr